Compound: MgCrI4
Source: Alexandria via LeMat-Bulk
Functional: PBE
Structure: relaxed

Unit cell a=4.181 b=7.741 c=7.141 alpha=94.18 beta=90.00 gamma=90.00
Last column: magnetic moment on the atom in μB.
Element x y z (fractional)
I 0.000 0.212 0.681  -0.03
I 0.500 0.786 0.808  -0.02
I 0.500 0.214 0.192  -0.02
I 0.000 0.788 0.319  -0.03
Mg 0.000 0.000 0.000  0.01
Cr 0.500 0.000 0.500  3.67

Calculated values
raw formation energy: -653.5 meV/atom
symmetry: No. 10